[1]
{
  "formula": "PrNdLu",
  "functional": "PBE",
  "state": "relaxed",
  "crystal_system": "tetragonal",
  "rho_g_cm3": 7.57,
  "total_energy_ev_per_atom": -4.6554,
  "de_polymorph_mev_per_atom": 0,
  "space_group": "I4mm, No. 107",
  "cell": [[-1.818, 1.818, 7.630], [1.818, -1.818, 7.630], [1.818, 1.818, -7.630]],
  "species": ["Pr", "Nd", "Lu"],
  "frac_coords": [[0.000, 0.000, 0.000], [0.327, 0.327, 0.000], [0.664, 0.664, 0.000]]
}

***

[2]
{
  "formula": "Nd2ErTl2",
  "functional": "PBE",
  "state": "relaxed",
  "crystal_system": "monoclinic",
  "rho_g_cm3": 9.62,
  "total_energy_ev_per_atom": -4.0431,
  "de_polymorph_mev_per_atom": 4,
  "space_group": "P2_1/m, No. 11",
  "cell": [[3.813, 0.000, 0.000], [0.000, 5.456, 0.000], [-1.911, 0.000, 14.346]],
  "species": ["Nd", "Nd", "Nd", "Nd", "Er", "Er", "Tl", "Tl", "Tl", "Tl"],
  "frac_coords": [[0.048, 0.250, 0.096], [0.240, 0.250, 0.476], [0.760, 0.750, 0.524], [0.952, 0.750, 0.904], [0.148, 0.750, 0.298], [0.852, 0.250, 0.702], [0.356, 0.750, 0.711], [0.447, 0.250, 0.895], [0.553, 0.750, 0.105], [0.644, 0.250, 0.289]]
}

***

[3]
{
  "formula": "LaDyAs2Pd5",
  "functional": "PBE",
  "state": "relaxed",
  "crystal_system": "tetragonal",
  "rho_g_cm3": 9.51,
  "total_energy_ev_per_atom": -5.7680,
  "space_group": "P4/mmm, No. 123",
  "cell": [[4.290, 0.000, 0.000], [0.000, 4.290, 0.000], [0.000, 0.000, 9.331]],
  "species": ["La", "Dy", "As", "As", "Pd", "Pd", "Pd", "Pd", "Pd"],
  "frac_coords": [[0.000, 0.000, 0.000], [0.000, 0.000, 0.500], [0.500, 0.500, 0.365], [0.500, 0.500, 0.635], [0.000, 0.500, 0.230], [0.000, 0.500, 0.770], [0.500, 0.000, 0.230], [0.500, 0.000, 0.770], [0.500, 0.500, 0.000]]
}

***

[4]
{
  "formula": "Cd3Pd3Au2",
  "functional": "PBE",
  "state": "relaxed",
  "crystal_system": "orthorhombic",
  "rho_g_cm3": 12.34,
  "total_energy_ev_per_atom": -3.4167,
  "space_group": "Pmmm, No. 47",
  "cell": [[4.108, 0.000, 0.000], [0.000, 4.188, 0.000], [0.000, 0.000, 8.213]],
  "species": ["Cd", "Cd", "Cd", "Pd", "Pd", "Pd", "Au", "Au"],
  "frac_coords": [[0.000, 0.000, 0.000], [0.000, 0.500, 0.265], [0.000, 0.500, 0.735], [0.000, 0.000, 0.500], [0.500, 0.500, 0.000], [0.500, 0.500, 0.500], [0.500, 0.000, 0.256], [0.500, 0.000, 0.744]]
}